! CaSnSe3 (PBE, optimized geometry); values from VASP
! Final energy (eV for the cell shown): -17.2
! Raw formation energy (eV per atom): -0.1478
! Density (g/cm³): 4.1
&SYSTEM
  ibrav = 0, nat = 5, ntyp = 3
/
ATOMIC_SPECIES
Ca 40.08 Ca.upf
Sn 118.71 Sn.upf
Se 78.96 Se.upf
ATOMIC_POSITIONS angstrom
Ca 0.000 0.000 0.000
Sn 2.707 2.707 2.707
Se 0.000 2.707 0.000
Se 0.000 0.000 2.707
Se 2.707 0.000 0.000
CELL_PARAMETERS angstrom
5.413 0.000 0.000
0.000 5.413 0.000
0.000 0.000 5.413